Record 1
Density functional theory data (GGA-PBE) for a relaxed La3Tb5S8 crystal.

The value obtained for the uncorrected formation energy is -199 kJ/mol of atoms.

The space group is R-3m (No. 166, hexagonal axes) and the conventional cell measures 8.0084, 8.0084 and 19.7676 Å, with angles of 90.00, 90.00 and 120.00 degrees. The asymmetric unit holds La at (0.0000, 0.5000, 0.0000), Tb at (0.0000, 0.0000, 0.0000), Tb at (0.0000, 0.0000, 0.5000), Tb at (0.0000, 0.5000, 0.5000), S at (0.0000, 0.0000, 0.2438) and S at (0.0079, 0.5040, 0.7540).

=====

Record 2
Density functional theory data (GGA-PBE) for a relaxed TiMo12W7 crystal.

The value obtained for the energy relative to the elements is 0.387 eV per atom.

The space group is R-3 (No. 148, hexagonal axes) and the conventional cell measures 9.6384, 9.6384 and 12.4764 Å, with angles of 90.00, 90.00 and 120.00 degrees. The asymmetric unit holds Ti at (0.0000, 0.0000, 0.0000), Mo at (0.0194, 0.4545, 0.7037), Mo at (0.0487, 0.5834, 0.0890), W at (0.0000, 0.0000, 0.5000) and W at (0.0500, 0.1847, 0.8118).

=====

Record 3
Density functional theory data (GGA-PBE) for a relaxed Ac5AgRu2 crystal.

The value obtained for the energy relative to the elements is -0.215 eV per atom.

The space group is I4/mcm (No. 140) and the conventional cell measures 8.319, 8.319 and 14.712 Å, with angles of 90.00, 90.00 and 90.00 degrees. The asymmetric unit holds Ac at (0.000, 0.000, 0.000), Ac at (0.160, 0.340, 0.131), Ag at (0.000, 0.000, 0.250) and Ru at (0.142, 0.358, 0.500).

=====

Record 4
Density functional theory data (GGA-PBE) for a relaxed BaBeFe crystal.

The value obtained for the relative energy among the computed polymorphs is 0.026 eV/atom. The value obtained for the energy relative to the elements is 0.625 eV per atom.

The space group is P-6m2 (No. 187) and the conventional cell measures 4.0654, 4.0654 and 4.9232 Å, with angles of 90.00, 90.00 and 120.00 degrees. The asymmetric unit holds Ba at (0.0000, 0.0000, 0.0000), Be at (0.6667, 0.3333, 0.5000) and Fe at (0.3333, 0.6667, 0.5000).

=====

Record 5
Density functional theory data (GGA-PBE) for a relaxed Tb3PuPt8 crystal.

The value obtained for the energy relative to the elements is -0.991 eV per atom.

The space group is P3m1 (No. 156) and the conventional cell measures 5.4596, 5.4596 and 8.9016 Å, with angles of 90.00, 90.00 and 120.00 degrees. The asymmetric unit holds Tb at (0.0000, 0.0000, 0.0000), Tb at (0.0000, 0.0000, 0.3710), Tb at (0.3333, 0.6667, 0.8646), Pu at (0.3333, 0.6667, 0.4942), Pt at (0.0048, 0.5024, 0.1816), Pt at (0.3286, 0.1643, 0.6836), Pt at (0.6667, 0.3333, 0.4331) and Pt at (0.6667, 0.3333, 0.9321).

=====

Record 6
Density functional theory data (GGA-PBE) for a relaxed Nd6SiC2Cl3 crystal.

The value obtained for the uncorrected formation energy is -101 kJ/mol of atoms.

The space group is C2/m (No. 12) and the conventional cell measures 18.301, 3.912 and 8.498 Å, with angles of 90.00, 108.19 and 90.00 degrees. The asymmetric unit holds Nd at (0.023, 0.000, 0.254), Nd at (0.167, 0.500, 0.136), Nd at (0.181, 0.500, 0.555), Si at (0.000, 0.500, 0.000), C at (0.170, 0.000, 0.339), Cl at (0.000, 0.500, 0.500) and Cl at (0.165, 0.000, 0.831).

=====

Record 7
Density functional theory data (GGA-PBE) for a relaxed Tb3ZnAu crystal.

The value obtained for the relative energy among the computed polymorphs is 0.114 eV/atom. The value obtained for the energy relative to the elements is -0.342 eV per atom.

The space group is C2/c (No. 15) and the conventional cell measures 15.343, 10.377 and 6.979 Å, with angles of 90.00, 102.90 and 90.00 degrees. The asymmetric unit holds Tb at (0.079, 0.188, 0.490), Tb at (0.122, 0.483, 0.072), Tb at (0.171, 0.128, 0.046), Zn at (0.233, 0.338, 0.365), Au at (0.000, 0.027, 0.750) and Au at (0.000, 0.348, 0.750).

=====

Record 8
Density functional theory data (GGA-PBE) for a relaxed Ce6GeSb3As2 crystal.

The value obtained for the uncorrected formation energy is -106 kJ/mol of atoms.

The space group is C2/m (No. 12) and the conventional cell measures 19.047, 4.343 and 8.751 Å, with angles of 90.00, 103.87 and 90.00 degrees. The asymmetric unit holds Ce at (0.004, 0.000, 0.240), Ce at (0.163, 0.500, 0.094), Ce at (0.171, 0.500, 0.573), Ge at (0.000, 0.500, 0.000), Sb at (0.000, 0.500, 0.500), Sb at (0.167, 0.000, 0.833) and As at (0.167, 0.000, 0.334).

=====

Record 9
Density functional theory data (GGA-PBE) for a relaxed LaCd2P2 crystal.

The value obtained for the energy relative to the elements is -0.363 eV per atom.

The space group is I4/mmm (No. 139) and the conventional cell measures 4.919, 4.919 and 9.458 Å, with angles of 90.00, 90.00 and 90.00 degrees. The asymmetric unit holds La at (0.000, 0.000, 0.000), Cd at (0.000, 0.000, 0.358) and P at (0.000, 0.500, 0.250).

=====

Record 10
Density functional theory data (GGA-PBE) for a relaxed CeSi4Os2 crystal.

The value obtained for the uncorrected formation energy is -35 kJ/mol of atoms.

The space group is I-42d (No. 122) and the conventional cell measures 7.472, 7.472 and 8.065 Å, with angles of 90.00, 90.00 and 90.00 degrees. The asymmetric unit holds Ce at (0.000, 0.000, 0.000), Si at (0.089, 0.637, 0.904) and Os at (0.174, 0.750, 0.625).

=====

Record 11
Density functional theory data (GGA-PBE) for a relaxed CeNpNiS4 crystal.

The value obtained for the uncorrected formation energy is -131 kJ/mol of atoms.

The space group is P2_1/m (No. 11) and the conventional cell measures 6.364, 5.862 and 7.659 Å, with angles of 90.00, 107.31 and 90.00 degrees. The asymmetric unit holds Ce at (0.243, 0.250, 0.434), Np at (0.260, 0.250, 0.942), Ni at (0.263, 0.750, 0.187), S at (0.069, 0.750, 0.383), S at (0.070, 0.750, 0.898) and S at (0.482, 0.511, 0.751).

=====

Record 12
Density functional theory data (GGA-PBE) for a relaxed La2PrDyBi4 crystal.

The value obtained for the energy relative to the elements is -0.978 eV per atom.

The space group is P2/m (No. 10) and the conventional cell measures 8.019, 4.640 and 8.028 Å, with angles of 90.00, 109.51 and 90.00 degrees. The asymmetric unit holds La at (0.000, 0.000, 0.000), La at (0.000, 0.500, 0.500), Pr at (0.500, 0.000, 0.500), Dy at (0.500, 0.500, 0.000), Bi at (0.256, 0.500, 0.247) and Bi at (0.259, 0.000, 0.758).

=====

no.,raw total energy (eV/atom),total magnetic moment (μB/f.u.)
1,-6.50,0.00
2,-11.04,0.00
3,-5.46,0.00
4,-4.08,1.94
5,-7.37,5.45
6,-5.88,0.00
7,-4.03,0.00
8,-6.26,4.19
9,-3.88,0.00
10,-7.52,0.42
11,-7.24,3.49
12,-5.32,0.00